[1]
DFT (PBE-GGA) results for crystalline GaCo2HW at its relaxed geometry.

Values from the calculation:
- E: -33.0 eV per cell

Geometry as POSCAR:
```
GaCo2HW
1.0
-0.008 -3.582 -0.995
-0.769 -0.972 3.505
-3.804 0.223 -0.773
H Co Ga W
1 2 1 1
Direct
0.000 0.000 0.000
0.000 0.500 0.000
0.500 0.000 0.000
0.500 0.500 0.500
0.000 0.000 0.500
```


[2]
DFT (PBE-GGA) results for crystalline ZnGaCoH2 at its relaxed geometry.

Values from the calculation:
- E: -16.0 eV per cell

Geometry as POSCAR:
```
ZnGaCoH2
1.0
3.473 0.000 0.000
0.000 4.750 0.000
0.000 0.000 3.473
H Zn Co Ga
2 1 1 1
Direct
0.000 0.000 0.500
0.500 0.000 0.000
0.000 0.500 0.000
0.000 0.000 0.000
0.500 0.500 0.500
```


[3]
DFT (PBE-GGA) results for crystalline ZrGaCo2H at its relaxed geometry.

Values from the calculation:
- Energy relative to the lowest polymorph listed for this composition: 0.0000 eV/atom

Geometry as POSCAR:
```
ZrGaCo2H
1.0
3.195 0.000 0.000
-1.597 5.373 0.000
0.000 0.000 7.046
Zr Ga Co H
2 2 4 2
Direct
0.474 0.948 0.750
0.526 0.052 0.250
0.750 0.499 0.750
0.250 0.501 0.250
0.143 0.286 0.947
0.857 0.714 0.053
0.143 0.286 0.553
0.857 0.714 0.447
0.000 0.000 0.000
0.000 0.000 0.500
```


[4]
DFT (PBE-GGA) results for crystalline Zr2GaCoH at its relaxed geometry.

Values from the calculation:
- Energy relative to the lowest polymorph listed for this composition: 0.0000 eV/atom

Geometry as POSCAR:
```
Zr2GaCoH
1.0
4.430 0.000 0.000
0.000 4.430 0.000
0.000 0.000 3.673
H Co Ga Zr
1 1 1 2
Direct
0.000 0.000 0.000
0.000 0.000 0.500
0.500 0.500 0.500
0.000 0.500 0.000
0.500 0.000 0.000
```


[5]
DFT (PBE-GGA) results for crystalline Zr2GaCoH at its relaxed geometry.

Values from the calculation:
- Energy relative to the lowest polymorph listed for this composition: 1.4934 eV/atom

Geometry as POSCAR:
```
Zr2GaCoH
1.0
5.013 0.000 0.000
0.000 4.196 0.000
0.000 0.000 5.013
H Co Ga Zr
1 1 1 2
Direct
0.500 0.500 0.500
0.000 0.500 0.000
0.000 0.000 0.000
0.000 0.000 0.500
0.500 0.000 0.000
```


[6]
DFT (PBE-GGA) results for crystalline Zr6Ga2CoH10 at its relaxed geometry.

Values from the calculation:
- E: -214.1 eV per cell

Geometry as POSCAR:
```
Zr6Ga2CoH10
1.0
-5.067 5.376 -3.155
1.205 -7.032 -3.691
-5.396 -2.889 3.743
Zr Ga Co H
12 4 2 20
Direct
0.738 0.000 0.000
0.000 0.738 0.000
0.738 0.000 0.500
0.262 0.262 0.000
0.000 0.738 0.500
0.262 0.262 0.500
0.422 0.046 0.250
0.954 0.376 0.250
0.046 0.422 0.750
0.624 0.578 0.250
0.376 0.954 0.750
0.578 0.624 0.750
0.333 0.667 0.048
0.333 0.667 0.452
0.667 0.333 0.952
0.667 0.333 0.548
0.000 0.000 0.250
0.000 0.000 0.750
0.279 0.000 0.000
0.000 0.279 0.000
0.279 0.000 0.500
0.721 0.721 0.000
0.000 0.279 0.500
0.721 0.721 0.500
0.407 0.293 0.250
0.707 0.114 0.250
0.293 0.407 0.750
0.886 0.593 0.250
0.114 0.707 0.750
0.593 0.886 0.750
0.119 0.238 0.250
0.762 0.881 0.250
0.238 0.119 0.750
0.119 0.881 0.250
0.881 0.762 0.750
0.881 0.119 0.750
0.000 0.000 0.000
0.000 0.000 0.500
```


[7]
DFT (PBE-GGA) results for crystalline ZrGaCoH2 at its relaxed geometry.

Values from the calculation:
- E: -55.3 eV per cell

Geometry as POSCAR:
```
ZrGaCoH2
1.0
-3.576 -1.001 -0.452
2.292 -2.897 3.772
-1.522 3.726 3.787
Zr Ga Co H
2 2 2 4
Direct
0.712 0.424 0.750
0.288 0.576 0.250
0.430 0.859 0.750
0.570 0.141 0.250
0.000 0.000 0.000
0.000 0.000 0.500
0.166 0.332 0.939
0.834 0.668 0.061
0.166 0.332 0.561
0.834 0.668 0.439
```


[8]
DFT (PBE-GGA) results for crystalline ZrGaCo2H at its relaxed geometry.

Values from the calculation:
- Energy relative to the lowest polymorph listed for this composition: 0.1068 eV/atom

Geometry as POSCAR:
```
ZrGaCo2H
1.0
-0.420 3.678 1.236
-3.385 0.260 -1.925
-1.898 -1.280 3.163
H Co Ga Zr
1 2 1 1
Direct
0.000 0.000 0.000
0.000 0.500 0.000
0.500 0.000 0.000
0.500 0.500 0.500
0.000 0.000 0.500
```


[9]
DFT (PBE-GGA) results for crystalline HfGaCo3 at its relaxed geometry.

Values from the calculation:
- Energy of formation: -0.122 eV per atom
- Energy relative to the lowest polymorph listed for this composition: 0.0000 eV/atom

Geometry as POSCAR:
```
HfGaCo3
1.0
4.688 0.000 0.000
0.000 4.420 0.000
-2.344 0.000 6.838
Hf Ga Co
2 2 6
Direct
0.199 0.250 0.398
0.801 0.750 0.602
0.568 0.250 0.135
0.432 0.750 0.865
0.139 0.250 0.749
0.609 0.250 0.749
0.391 0.750 0.251
0.861 0.750 0.251
0.000 0.000 0.000
0.000 0.500 0.000
```


[10]
DFT (PBE-GGA) results for crystalline Hf3GaCo8 at its relaxed geometry.

Values from the calculation:
- Energy of formation: -0.333 eV per atom

Geometry as POSCAR:
```
Hf3GaCo8
1.0
-1.048 2.428 4.035
-0.222 -2.321 4.223
7.241 1.414 3.914
Hf Ga Co
3 1 8
Direct
0.377 0.377 0.870
0.994 0.994 0.018
0.504 0.504 0.487
0.871 0.871 0.386
0.939 0.437 0.187
0.438 0.938 0.686
0.437 0.437 0.187
0.938 0.938 0.686
0.189 0.189 0.434
0.688 0.688 0.936
0.437 0.939 0.187
0.938 0.438 0.686
```


[11]
DFT (PBE-GGA) results for crystalline Hf4GaCo2 at its relaxed geometry.

Values from the calculation:
- Energy of formation: -0.167 eV per atom

Geometry as POSCAR:
```
Hf4GaCo2
1.0
-3.411 2.384 -0.873
-3.559 -1.828 -1.442
-5.058 -0.800 7.228
Hf Ga Co
4 1 2
Direct
0.385 0.385 0.846
0.203 0.203 0.392
0.797 0.797 0.608
0.615 0.615 0.154
0.000 0.000 0.000
0.098 0.098 0.705
0.902 0.902 0.295
```


[12]
DFT (PBE-GGA) results for crystalline Hf6Ga2Co at its relaxed geometry.

Values from the calculation:
- Energy of formation: -0.214 eV per atom

Geometry as POSCAR:
```
Hf6Ga2Co
1.0
-5.466 -0.616 -0.707
-0.343 -3.867 6.023
-1.461 7.504 4.735
Hf Ga Co
12 4 2
Direct
0.860 0.965 0.244
0.867 0.664 0.548
0.882 0.700 0.955
0.618 0.200 0.545
0.633 0.164 0.952
0.640 0.465 0.256
0.140 0.035 0.756
0.133 0.336 0.452
0.118 0.300 0.045
0.382 0.800 0.455
0.367 0.836 0.048
0.360 0.535 0.744
0.893 0.389 0.759
0.607 0.889 0.741
0.393 0.111 0.259
0.107 0.611 0.241
0.500 0.500 0.000
0.000 0.000 0.500
```


[13]
DFT (PBE-GGA) results for crystalline HfGa2Co at its relaxed geometry.

Values from the calculation:
- Energy of formation: -0.310 eV per atom

Geometry as POSCAR:
```
HfGa2Co
1.0
-0.411 3.733 -1.448
-0.064 0.620 -3.976
-4.625 0.958 -1.813
Co Hf Ga
1 1 2
Direct
0.000 0.000 0.000
0.500 0.500 0.500
0.279 0.279 0.163
0.721 0.721 0.837
```


[14]
DFT (PBE-GGA) results for crystalline HfGa2Co at its relaxed geometry.

Values from the calculation:
- Energy of formation: -0.156 eV per atom

Geometry as POSCAR:
```
HfGa2Co
1.0
0.000 3.139 3.139
3.139 0.000 3.139
3.139 3.139 0.000
Co Hf Ga
1 1 2
Direct
0.000 0.000 0.000
0.500 0.500 0.500
0.250 0.250 0.250
0.750 0.750 0.750
```


[15]
DFT (PBE-GGA) results for crystalline Hf3GaCo at its relaxed geometry.

Values from the calculation:
- Energy of formation: -0.115 eV per atom
- Energy relative to the lowest polymorph listed for this composition: 0.1852 eV/atom

Geometry as POSCAR:
```
Hf3GaCo
1.0
-4.296 0.332 -2.540
1.835 -5.295 -3.795
-3.465 -0.982 5.730
Hf Ga Co
6 2 2
Direct
0.250 0.819 0.181
0.750 0.181 0.819
0.250 0.819 0.639
0.750 0.181 0.361
0.250 0.361 0.181
0.750 0.639 0.819
0.250 0.334 0.666
0.750 0.666 0.334
0.000 0.000 0.000
0.500 0.000 0.000
```


[16]
DFT (PBE-GGA) results for crystalline Hf2Ga2Co at its relaxed geometry.

Values from the calculation:
- Energy of formation: -0.244 eV per atom
- Energy relative to the lowest polymorph listed for this composition: 0.2516 eV/atom

Geometry as POSCAR:
```
Hf2Ga2Co
1.0
5.447 0.000 0.000
0.000 5.969 0.000
-2.724 -2.985 5.645
Hf Ga Co
4 4 2
Direct
0.889 0.698 0.779
0.111 0.302 0.221
0.611 0.919 0.221
0.389 0.081 0.779
0.360 0.574 0.721
0.640 0.426 0.279
0.140 0.853 0.279
0.860 0.147 0.721
0.750 0.500 0.000
0.250 0.500 0.000
```


[17]
DFT (PBE-GGA) results for crystalline Hf4Ga6Co7 at its relaxed geometry.

Values from the calculation:
- Energy of formation: -0.421 eV per atom

Geometry as POSCAR:
```
Hf4Ga6Co7
1.0
-1.873 -6.364 1.578
6.483 0.003 -2.114
-0.597 3.977 5.507
Hf Ga Co
4 6 7
Direct
0.500 0.000 0.000
0.500 0.500 0.500
0.000 0.500 0.000
0.000 0.000 0.500
0.686 0.000 0.686
0.686 0.686 0.000
0.000 0.314 0.314
0.314 0.000 0.314
0.314 0.314 0.000
0.000 0.686 0.686
0.750 0.500 0.250
0.250 0.750 0.500
0.500 0.750 0.250
0.750 0.250 0.500
0.250 0.500 0.750
0.500 0.250 0.750
0.000 0.000 0.000
```


[18]
DFT (PBE-GGA) results for crystalline HfGa2Co3 at its relaxed geometry.

Values from the calculation:
- Energy of formation: -0.377 eV per atom

Geometry as POSCAR:
```
HfGa2Co3
1.0
4.256 0.000 0.017
2.128 6.357 0.009
-0.023 0.000 5.860
Hf Ga Co
2 4 6
Direct
0.340 0.320 0.000
0.660 0.680 0.000
0.000 0.000 0.000
0.000 0.000 0.500
0.330 0.341 0.500
0.670 0.659 0.500
0.836 0.329 0.739
0.500 0.000 0.273
0.164 0.671 0.261
0.836 0.329 0.261
0.164 0.671 0.739
0.500 0.000 0.727
```


[19]
DFT (PBE-GGA) results for crystalline HfGa2Co at its relaxed geometry.

Values from the calculation:
- Energy of formation: -0.321 eV per atom

Geometry as POSCAR:
```
HfGa2Co
1.0
-3.650 -1.771 -0.394
0.973 -2.610 2.716
-1.432 2.338 2.760
Co Hf Ga
1 1 2
Direct
0.500 0.500 0.500
0.500 0.000 0.000
0.000 0.000 0.500
0.000 0.500 0.000
```


[20]
DFT (PBE-GGA) results for crystalline Hf2Ga5Co3 at its relaxed geometry.

Values from the calculation:
- Energy of formation: -0.392 eV per atom

Geometry as POSCAR:
```
Hf2Ga5Co3
1.0
-0.090 0.251 -4.000
-6.131 -1.523 0.042
-2.797 11.335 2.783
Hf Ga Co
4 10 6
Direct
0.479 0.762 0.958
0.172 0.717 0.345
0.828 0.217 0.655
0.521 0.262 0.042
0.401 0.410 0.802
0.289 0.506 0.578
0.711 0.006 0.422
0.124 0.251 0.248
0.295 0.917 0.589
0.949 0.086 0.897
0.705 0.417 0.411
0.876 0.751 0.752
0.051 0.586 0.103
0.599 0.910 0.198
0.774 0.707 0.547
0.607 0.525 0.214
0.047 0.983 0.094
0.226 0.207 0.453
0.953 0.483 0.906
0.393 0.025 0.786
```


[21]
DFT (PBE-GGA) results for crystalline Hf8Ga2Co at its relaxed geometry.

Values from the calculation:
- Energy of formation: -0.199 eV per atom

Geometry as POSCAR:
```
Hf8Ga2Co
1.0
-4.613 0.362 0.228
0.174 -1.431 5.791
3.016 7.374 2.244
Hf Ga Co
8 2 1
Direct
0.409 0.432 0.817
0.653 0.081 0.305
0.787 0.635 0.574
0.027 0.247 0.054
0.213 0.365 0.426
0.347 0.919 0.695
0.591 0.568 0.183
0.973 0.753 0.946
0.831 0.173 0.661
0.169 0.827 0.339
0.500 0.000 0.000
```


[22]
DFT (PBE-GGA) results for crystalline Hf3Ga2Co4 at its relaxed geometry.

Values from the calculation:
- Energy of formation: -0.391 eV per atom

Geometry as POSCAR:
```
Hf3Ga2Co4
1.0
-1.326 3.749 -0.598
-3.418 -3.182 1.151
1.744 1.800 7.414
Hf Ga Co
3 2 4
Direct
0.371 0.743 0.614
0.000 0.000 0.000
0.629 0.257 0.386
0.322 0.643 0.221
0.678 0.357 0.779
0.715 0.430 0.087
0.080 0.159 0.631
0.920 0.841 0.369
0.285 0.570 0.913
```